! GGA-PBE Sn3PbS6, optimized geometry; values from VASP
! Relative energy among the computed polymorphs: 0 meV per atom
! Total magnetic moment: 0.00 μB/cell
! Crystal system: monoclinic
! DOS at the Fermi energy: 0.02 states/eV/atom
! Electronic total energy: -4.43 eV per atom
! Formation energy from raw total energies: -381 meV/atom
&SYSTEM
  ibrav = 0, nat = 20, ntyp = 3
/
ATOMIC_SPECIES
Sn 118.71 Sn.upf
Pb 207.20 Pb.upf
S 32.06 S.upf
CELL_PARAMETERS angstrom
12.2790 0.0000 0.0000
0.0000 3.8388 0.0000
-5.4474 0.0000 11.8092
ATOMIC_POSITIONS crystal
Sn 0.0114 0.2500 0.1557
Sn 0.3084 0.2500 0.7569
Sn 0.4325 0.7500 0.5818
Sn 0.5675 0.2500 0.4182
Sn 0.6916 0.7500 0.2431
Sn 0.9886 0.7500 0.8443
Pb 0.2941 0.2500 0.0297
Pb 0.7059 0.7500 0.9703
S 0.1171 0.2500 0.7956
S 0.1408 0.7500 0.0553
S 0.2329 0.7500 0.6011
S 0.3615 0.2500 0.4304
S 0.3980 0.7500 0.9010
S 0.4890 0.7500 0.2669
S 0.5110 0.2500 0.7331
S 0.6020 0.2500 0.0990
S 0.6385 0.7500 0.5696
S 0.7671 0.2500 0.3989
S 0.8592 0.2500 0.9447
S 0.8829 0.7500 0.2044